Material: Y2Co2Hg
Method: DFT, GGA-PBE
State: relaxed

Output
Volume in Å³ per cell: 209
Final energy in eV for the cell shown: -55.73
Formation energy from the elements in eV per atom: -0.085

The structure in CIF format:
```
data_Y2Co2Hg
_chemical_formula_sum 'Y4 Co4 Hg2'
_symmetry_space_group_name_H-M 'I 4/m m m'
_symmetry_Int_Tables_number 139
_symmetry_space_group_name_Hall '-I 4 2'
_cell_length_a 3.4070
_cell_length_b 3.4070
_cell_length_c 18.0271
_cell_angle_alpha 90.00
_cell_angle_beta 90.00
_cell_angle_gamma 90.00
loop_
_atom_site_label
_atom_site_type_symbol
_atom_site_fract_x
_atom_site_fract_y
_atom_site_fract_z
Y1 Y 0.0000 0.0000 0.1208
Co1 Co 0.0000 0.5000 0.2500
Hg1 Hg 0.0000 0.0000 0.5000
```